# 1
Here is a geometry-optimized DyHfAsO structure from OQMD via LeMat-Bulk. Energies are from PBE. Values from VASP.

Structure (Quantum ESPRESSO input):
```
&SYSTEM
  ibrav = 0, nat = 8, ntyp = 4
/
ATOMIC_SPECIES
O 16.00 O.upf
Hf 178.49 Hf.upf
As 74.92 As.upf
Dy 162.50 Dy.upf
CELL_PARAMETERS angstrom
4.0296 0.0000 0.0000
0.0000 4.0296 0.0000
0.0000 0.0000 8.5223
ATOMIC_POSITIONS angstrom
O 3.0222 1.0074 0.0000
Hf 3.0222 3.0222 7.5463
O 1.0074 3.0222 0.0000
As 1.0074 1.0074 6.3137
Hf 1.0074 1.0074 0.9759
As 3.0222 3.0222 2.2086
Dy 1.0074 3.0222 4.2611
Dy 3.0222 1.0074 4.2611
```

Computed properties:
The calculation puts the total energy at -59.8 eV/cell.



# 2
Here is a geometry-optimized DyHfAsO structure from OQMD via LeMat-Bulk. Energies are from PBE. Values from VASP.

Structure (Quantum ESPRESSO input):
```
&SYSTEM
  ibrav = 0, nat = 8, ntyp = 4
/
ATOMIC_SPECIES
Dy 162.50 Dy.upf
As 74.92 As.upf
Hf 178.49 Hf.upf
O 16.00 O.upf
CELL_PARAMETERS angstrom
3.9478 0.0000 0.0000
0.0000 7.4351 0.0000
0.0000 0.0000 5.7817
ATOMIC_POSITIONS angstrom
Dy 0.0000 2.0436 5.5040
As 0.0000 2.5384 2.5896
Hf 1.9739 6.6468 5.7603
As 0.0000 4.8968 5.4805
O 1.9739 6.2984 2.0687
Hf 1.9739 0.7883 2.8695
Dy 0.0000 5.3915 2.6132
O 1.9739 1.1367 4.9596
```

Computed properties:
The calculation puts the total energy at -62.2 eV/cell.



# 3
Here is a geometry-optimized DyHfAsO structure from OQMD via LeMat-Bulk. Energies are from PBE. Values from VASP.

Structure (Quantum ESPRESSO input):
```
&SYSTEM
  ibrav = 0, nat = 8, ntyp = 4
/
ATOMIC_SPECIES
O 16.00 O.upf
As 74.92 As.upf
Dy 162.50 Dy.upf
Hf 178.49 Hf.upf
CELL_PARAMETERS angstrom
-4.7406 -1.4947 -1.2510
1.2335 -3.8569 -0.0662
-1.7187 -0.6754 7.3196
ATOMIC_POSITIONS angstrom
O -4.0900 -3.5018 3.9316
As -2.7181 -0.9760 6.2156
Dy -1.6657 -2.7332 4.3271
As -3.7413 -1.1940 -0.1470
O -1.1358 -2.5251 2.0707
Dy -3.5602 -3.2936 1.6752
Hf -1.6202 -0.5446 1.5402
Hf -4.8391 -1.6254 4.5283
```

Computed properties:
The calculation puts the total energy at -62.4 eV/cell.



# 4
Here is a geometry-optimized DyHfAsO structure from OQMD via LeMat-Bulk. Energies are from PBE. Values from VASP.

Structure (Quantum ESPRESSO input):
```
&SYSTEM
  ibrav = 0, nat = 8, ntyp = 4
/
ATOMIC_SPECIES
Dy 162.50 Dy.upf
O 16.00 O.upf
As 74.92 As.upf
Hf 178.49 Hf.upf
CELL_PARAMETERS angstrom
-0.4822 3.4272 2.2719
-2.3435 -2.1086 2.6835
7.1257 -2.0531 4.6095
ATOMIC_POSITIONS angstrom
Dy 0.1110 0.0941 1.7676
Dy 4.1890 -0.8287 7.7973
O -1.8782 -0.7247 2.5806
As 4.2653 -1.1029 4.4550
O -0.9475 2.0432 2.3748
As 0.0347 0.3683 5.1099
Hf 2.6153 1.0167 4.6795
Hf 1.6847 -1.7512 4.8854
```

Computed properties:
The calculation puts the total energy at -63.7 eV/cell.



# 5
Here is a geometry-optimized Dy2HgAs2 structure from OQMD via LeMat-Bulk. Energies are from PBE. Values from VASP.

Structure (Quantum ESPRESSO input):
```
&SYSTEM
  ibrav = 0, nat = 10, ntyp = 3
/
ATOMIC_SPECIES
Hg 200.59 Hg.upf
Dy 162.50 Dy.upf
As 74.92 As.upf
CELL_PARAMETERS angstrom
-2.5004 2.5004 11.0489
2.5004 -2.5004 11.0489
2.5004 2.5004 -11.0489
ATOMIC_POSITIONS angstrom
Hg 0.0000 0.0000 8.3578
Dy 0.0000 0.0000 1.5449
As 0.0000 2.5004 0.0000
As 0.0000 0.0000 17.8163
Dy 2.5004 0.0000 5.5244
As 0.0000 0.0000 4.2814
As 2.5004 0.0000 0.0000
Dy 0.0000 2.5004 5.5244
Hg 0.0000 0.0000 13.7399
Dy 0.0000 0.0000 20.5529
```

Computed properties:
The calculation puts the total energy at -44.7 eV/cell.



# 6
Here is a geometry-optimized DyHgAs structure from OQMD via LeMat-Bulk. Energies are from PBE. Values from VASP.

Structure (Quantum ESPRESSO input):
```
&SYSTEM
  ibrav = 0, nat = 3, ntyp = 3
/
ATOMIC_SPECIES
Hg 200.59 Hg.upf
As 74.92 As.upf
Dy 162.50 Dy.upf
CELL_PARAMETERS angstrom
-0.5752 3.4261 3.3465
-2.0140 4.2188 -1.1888
-4.4187 1.0973 1.5936
ATOMIC_POSITIONS angstrom
Hg -5.2559 6.5566 2.8135
As 0.0000 0.0000 0.0000
Dy -1.7520 2.1855 0.9378
```

Computed properties:
The calculation puts the total energy at -10.8 eV/cell.



# 7
Here is a geometry-optimized DyHo3As4 structure from OQMD via LeMat-Bulk. Energies are from PBE. Values from VASP.

Structure (Quantum ESPRESSO input):
```
&SYSTEM
  ibrav = 0, nat = 8, ntyp = 3
/
ATOMIC_SPECIES
As 74.92 As.upf
Ho 164.93 Ho.upf
Dy 162.50 Dy.upf
CELL_PARAMETERS angstrom
4.0977 -5.7953 0.0000
4.0977 5.7953 0.0000
0.0000 0.0000 4.0992
ATOMIC_POSITIONS angstrom
As 6.1397 0.0000 0.0000
As 2.0557 0.0000 0.0000
As 4.0977 2.8934 2.0496
Ho 2.0488 2.8976 0.0000
Ho 4.0977 0.0000 2.0496
Ho 2.0488 -2.8976 0.0000
Dy 0.0000 0.0000 2.0496
As 4.0977 -2.8934 2.0496
```

Computed properties:
The calculation puts the total energy at -49.2 eV/cell.



# 8
Here is a geometry-optimized DyHo2As3 structure from OQMD via LeMat-Bulk. Energies are from PBE. Values from VASP.

Structure (Quantum ESPRESSO input):
```
&SYSTEM
  ibrav = 0, nat = 6, ntyp = 3
/
ATOMIC_SPECIES
As 74.92 As.upf
Ho 164.93 Ho.upf
Dy 162.50 Dy.upf
CELL_PARAMETERS angstrom
-2.5428 1.9835 2.5350
-0.9846 -0.4466 -3.9569
-4.6306 -8.6578 2.1294
ATOMIC_POSITIONS angstrom
As 0.0000 0.0000 0.0000
As -3.0441 -2.5162 -1.0847
As -5.1138 -4.6048 1.7922
Ho -2.7942 -0.2678 0.7255
Ho -5.3637 -6.8532 -0.0181
Dy -2.3153 -4.3289 1.0647
```

Computed properties:
The calculation puts the total energy at -36.9 eV/cell.